1.
# Al2FeGePt

A relaxed Al2FeGePt crystal (PBE, Alexandria via LeMat-Bulk).

Output
**Crystal system**: tetragonal
**Formation energy from the elements**: 0.142 eV/atom
**Magnetic moment**: 0.00 μB per formula unit

Lattice parameters (Å, degrees): 4.4443 4.4443 4.3518 90.00 90.00 90.00
With the nearest neighbours (Å) after each atom.
Fractional positions:
Al (0.0000, 0.5000, 0.0000)  2 Fe 2.22
Al (0.5000, 0.0000, 0.0000)  2 Fe 2.22
Fe (0.0000, 0.0000, 0.0000)  2 Ge 2.18, 4 Al 2.22
Ge (0.0000, 0.0000, 0.5000)  2 Fe 2.18
Pt (0.5000, 0.5000, 0.5000)  8 Al 3.11, 4 Ge 3.14

---

2.
# Zr5Ge2As2

A relaxed Zr5Ge2As2 crystal (PBE, Alexandria via LeMat-Bulk).

Output
**Crystal system**: orthorhombic
**Formation energy from the elements**: -0.996 eV/atom
**Magnetic moment**: 0.00 μB per formula unit

Lattice parameters (Å, degrees): 7.7593 7.7593 7.1668 90.00 90.00 55.46
With the nearest neighbours (Å) after each atom.
Fractional positions:
Zr (0.0000, 0.0000, 0.0000)  2 As 2.77, 4 Ge 2.81-2.82
Zr (0.0272, 0.6984, 0.6643)  3 As 2.78-2.84, 3 Ge 2.81-2.86
Zr (0.1984, 0.5272, 0.1643)  3 As 2.78-2.84, 3 Ge 2.81-2.86
Zr (0.3016, 0.9728, 0.6643)  3 As 2.78-2.84, 3 Ge 2.81-2.86
Zr (0.4728, 0.8016, 0.1643)  3 As 2.78-2.84, 3 Ge 2.81-2.86
Zr (0.5000, 0.5000, 0.5000)  2 As 2.77, 4 Ge 2.81-2.82
Zr (0.5272, 0.1984, 0.8357)  3 As 2.78-2.84, 3 Ge 2.81-2.86
Zr (0.6984, 0.0272, 0.3357)  3 As 2.78-2.84, 3 Ge 2.81-2.86
Zr (0.8016, 0.4728, 0.8357)  3 As 2.78-2.84, 3 Ge 2.81-2.86
Zr (0.9728, 0.3016, 0.3357)  3 As 2.78-2.84, 3 Ge 2.81-2.86
Ge (0.1315, 0.8685, 0.3692)  1 Ge 2.67, 8 Zr 2.81-2.86
Ge (0.3685, 0.6315, 0.8692)  1 Ge 2.67, 8 Zr 2.81-2.86
Ge (0.6315, 0.3685, 0.1308)  1 Ge 2.67, 8 Zr 2.81-2.86
Ge (0.8685, 0.1315, 0.6308)  1 Ge 2.67, 8 Zr 2.81-2.86
As (0.2015, 0.2015, 0.0000)  7 Zr 2.77-2.84
As (0.2985, 0.2985, 0.5000)  7 Zr 2.77-2.84
As (0.7015, 0.7015, 0.5000)  7 Zr 2.77-2.84
As (0.7985, 0.7985, 0.0000)  7 Zr 2.77-2.84

---

3.
# BeHgPb2

A relaxed BeHgPb2 crystal (PBE, Alexandria via LeMat-Bulk).

Output
**Crystal system**: tetragonal
**E above lowest polymorph**: 0.042 eV per atom
**Formation energy from the elements**: 0.353 eV/atom
**Magnetic moment**: 0.00 μB per formula unit

Lattice parameters (Å, degrees): 3.3461 3.3461 9.1921 90.00 90.00 90.00
With the nearest neighbours (Å) after each atom.
Fractional positions:
Be (0.0000, 0.0000, 0.0000)  8 Pb 2.94
Hg (0.0000, 0.0000, 0.5000)  4 Hg 3.35, 8 Pb 3.70
Pb (0.5000, 0.5000, 0.1901)  4 Be 2.94
Pb (0.5000, 0.5000, 0.8099)  4 Be 2.94

---

4.
# AgSnSb

A relaxed AgSnSb crystal (PBE, Alexandria via LeMat-Bulk).

Output
**Formation energy without anion corrections**: 96 meV/atom
**Crystal system**: trigonal
**E above lowest polymorph**: 0.045 eV per atom
**Magnetic moment**: 0.00 μB per formula unit

Lattice parameters (Å, degrees): 4.2497 4.2497 4.9801 90.00 90.00 120.00
With the nearest neighbours (Å) after each atom.
Fractional positions:
Ag (0.0000, 0.0000, 0.0000)  3 Sb 2.89, 3 Sn 2.96
Sn (0.3333, 0.6667, 0.3333)  3 Ag 2.96, 3 Sb 3.03
Sb (0.6667, 0.3333, 0.6918)  3 Ag 2.89, 3 Sn 3.03

---

What did the third record say?
# BeHgPb2

A relaxed BeHgPb2 crystal (PBE, Alexandria via LeMat-Bulk).

Output
**Crystal system**: tetragonal
**E above lowest polymorph**: 0.042 eV per atom
**Formation energy from the elements**: 0.353 eV/atom
**Magnetic moment**: 0.00 μB per formula unit

Lattice parameters (Å, degrees): 3.3461 3.3461 9.1921 90.00 90.00 90.00
With the nearest neighbours (Å) after each atom.
Fractional positions:
Be (0.0000, 0.0000, 0.0000)  8 Pb 2.94
Hg (0.0000, 0.0000, 0.5000)  4 Hg 3.35, 8 Pb 3.70
Pb (0.5000, 0.5000, 0.1901)  4 Be 2.94
Pb (0.5000, 0.5000, 0.8099)  4 Be 2.94